Entry 1:
{"formula": "Cs3AsOs", "functional": "PBE-GGA", "state": "relaxed", "cell": [[5.919, 0.000, 0.000], [0.000, 5.919, 0.000], [0.000, 0.000, 5.919]], "species": ["Cs", "Cs", "Cs", "As", "Os"], "fractional_positions": [[0.000, 0.000, 0.500], [0.000, 0.500, 0.000], [0.500, 0.000, 0.000], [0.500, 0.500, 0.500], [0.000, 0.000, 0.000]], "formation_energy_ev_per_atom": 1.18}

---

Entry 2:
{"formula": "CsAsOsSe2", "functional": "PBE-GGA", "state": "relaxed", "cell": [[5.548, 0.000, 0.000], [0.000, 5.548, 0.000], [0.000, 0.000, 5.954]], "species": ["Cs", "As", "Os", "Se", "Se"], "fractional_positions": [[0.000, 0.000, 0.000], [0.000, 0.000, 0.500], [0.500, 0.500, 0.500], [0.000, 0.500, 0.000], [0.500, 0.000, 0.000]], "raw_formation_energy_ev_per_atom": 2.51}

---

Entry 3:
{"formula": "Cs2AsOsSe", "functional": "PBE-GGA", "state": "relaxed", "cell": [[6.336, 0.000, 0.000], [0.000, 6.336, 0.000], [0.000, 0.000, 4.621]], "species": ["Cs", "Cs", "As", "Os", "Se"], "fractional_positions": [[0.000, 0.500, 0.000], [0.500, 0.000, 0.000], [0.000, 0.000, 0.500], [0.000, 0.000, 0.000], [0.500, 0.500, 0.500]], "raw_formation_energy_ev_per_atom": 0.39}

---

Entry 4:
{"formula": "CsTlAsOs2", "functional": "PBE-GGA", "state": "relaxed", "cell": [[5.299, 0.000, 0.000], [0.000, 5.299, 0.000], [0.000, 0.000, 5.502]], "species": ["Cs", "Tl", "As", "Os", "Os"], "fractional_positions": [[0.000, 0.000, 0.000], [0.500, 0.500, 0.500], [0.500, 0.500, 0.000], [0.000, 0.500, 0.500], [0.500, 0.000, 0.500]], "formation_energy_ev_per_atom": 2.20}

---

Entry 5:
{"formula": "CsAs3P", "functional": "PBE-GGA", "state": "relaxed", "cell": [[5.079, 0.000, 0.000], [0.000, 5.079, 0.000], [0.000, 0.000, 5.079]], "species": ["Cs", "As", "As", "As", "P"], "fractional_positions": [[0.000, 0.000, 0.000], [0.000, 0.500, 0.500], [0.500, 0.000, 0.500], [0.500, 0.500, 0.000], [0.500, 0.500, 0.500]], "formation_energy_ev_per_atom": 0.41, "relative_energy_ev_per_atom": 0.582}

---

Entry 6:
{"formula": "Cs2As2P", "functional": "PBE-GGA", "state": "relaxed", "cell": [[7.138, 0.000, 0.000], [0.000, 7.138, 0.000], [0.000, 0.000, 5.962]], "species": ["Cs", "Cs", "Cs", "Cs", "As", "As", "As", "As", "P", "P"], "fractional_positions": [[0.184, 0.316, 0.000], [0.316, 0.816, 0.000], [0.684, 0.184, 0.000], [0.816, 0.684, 0.000], [0.124, 0.624, 0.500], [0.376, 0.124, 0.500], [0.624, 0.876, 0.500], [0.876, 0.376, 0.500], [0.000, 0.000, 0.500], [0.500, 0.500, 0.500]], "formation_energy_ev_per_atom": -0.06, "relative_energy_ev_per_atom": 0.062}

---

Entry 7:
{"formula": "CsAs3P", "functional": "PBE-GGA", "state": "relaxed", "cell": [[6.016, 0.000, 0.000], [0.000, 8.741, 0.000], [-0.502, 0.000, 13.509]], "species": ["Cs", "Cs", "Cs", "Cs", "As", "As", "As", "As", "As", "As", "As", "As", "As", "As", "As", "As", "P", "P", "P", "P"], "fractional_positions": [[0.196, 0.204, 0.294], [0.196, 0.296, 0.794], [0.804, 0.704, 0.206], [0.804, 0.796, 0.706], [0.033, 0.114, 0.550], [0.033, 0.386, 0.050], [0.232, 0.016, 0.041], [0.232, 0.484, 0.541], [0.317, 0.731, 0.008], [0.317, 0.769, 0.508], [0.683, 0.231, 0.492], [0.683, 0.269, 0.992], [0.768, 0.516, 0.459], [0.768, 0.984, 0.959], [0.967, 0.614, 0.950], [0.967, 0.886, 0.450], [0.361, 0.578, 0.391], [0.361, 0.922, 0.891], [0.639, 0.078, 0.109], [0.639, 0.422, 0.609]], "formation_energy_ev_per_atom": -0.15, "relative_energy_ev_per_atom": 0.018}

---

Entry 8:
{"formula": "CsAs3P", "functional": "PBE-GGA", "state": "relaxed", "cell": [[6.485, 0.000, 0.000], [-0.725, 6.769, 0.000], [-0.596, -3.291, 8.038]], "species": ["Cs", "Cs", "As", "As", "As", "As", "As", "As", "P", "P"], "fractional_positions": [[0.209, 0.008, 0.240], [0.791, 0.992, 0.760], [0.010, 0.579, 0.395], [0.365, 0.380, 0.885], [0.481, 0.574, 0.359], [0.519, 0.426, 0.641], [0.635, 0.620, 0.115], [0.990, 0.421, 0.605], [0.279, 0.642, 0.783], [0.721, 0.358, 0.217]], "formation_energy_ev_per_atom": -0.17, "relative_energy_ev_per_atom": 0.000}

---

Entry 9:
{"formula": "CsAsP", "functional": "PBE-GGA", "state": "relaxed", "cell": [[6.147, 0.000, 0.000], [-0.426, 6.160, 0.000], [-2.852, -3.057, 5.702]], "species": ["Cs", "Cs", "As", "As", "P", "P"], "fractional_positions": [[0.187, 0.186, 0.375], [0.813, 0.814, 0.625], [0.000, 0.500, 0.000], [0.500, 0.000, 0.000], [0.374, 0.626, 0.000], [0.626, 0.374, 0.000]], "formation_energy_ev_per_atom": -0.10, "relative_energy_ev_per_atom": 0.245}

---

Entry 10:
{"formula": "Cs2As3P", "functional": "PBE-GGA", "state": "relaxed", "cell": [[5.900, -4.449, 0.000], [5.900, 4.449, 0.000], [-3.548, 0.000, 8.396]], "species": ["Cs", "Cs", "Cs", "Cs", "As", "As", "As", "As", "As", "As", "P", "P"], "fractional_positions": [[0.215, 0.218, 0.355], [0.218, 0.215, 0.855], [0.782, 0.785, 0.145], [0.785, 0.782, 0.645], [0.265, 0.733, 0.036], [0.267, 0.735, 0.464], [0.349, 0.651, 0.750], [0.651, 0.349, 0.250], [0.733, 0.265, 0.536], [0.735, 0.267, 0.964], [0.394, 0.606, 0.250], [0.606, 0.394, 0.750]], "formation_energy_ev_per_atom": -0.26}

---

Entry 11:
{"formula": "CsAsP", "functional": "PBE-GGA", "state": "relaxed", "cell": [[4.374, 0.000, 0.000], [-2.187, 3.788, 0.000], [0.000, 0.000, 5.778]], "species": ["Cs", "As", "P"], "fractional_positions": [[0.000, 0.000, 0.000], [0.333, 0.667, 0.500], [0.667, 0.333, 0.500]], "formation_energy_ev_per_atom": -0.18, "relative_energy_ev_per_atom": 0.165}

---

Entry 12:
{"formula": "CsAsP", "functional": "PBE-GGA", "state": "relaxed", "cell": [[6.129, 0.000, 0.000], [-1.940, 5.895, 0.000], [-1.174, -1.494, 6.685]], "species": ["Cs", "Cs", "As", "As", "P", "P"], "fractional_positions": [[0.163, 0.302, 0.258], [0.837, 0.698, 0.742], [0.457, 0.852, 0.099], [0.543, 0.148, 0.901], [0.374, 0.928, 0.584], [0.626, 0.072, 0.416]], "formation_energy_ev_per_atom": -0.35, "relative_energy_ev_per_atom": 0.000}